Np3Tl4HgO12 | GGA-PBE | optimized geometry

energy relative to the elements, uncorrected: -1.94 eV per atom
E: -7.341 eV/atom

Lattice parameters (Å, degrees): 8.716 8.716 8.716 90.00 90.00 90.00
Space group Im-3m (No. 229)
Inequivalent atoms, fractional coordinates:
Np: 0.000 0.000 0.500 (multiplicity 6)
Tl: 0.250 0.250 0.250 (multiplicity 8)
Hg: 0.000 0.000 0.000 (multiplicity 2)
O: 0.000 0.000 0.277 (multiplicity 12)
O: 0.000 0.250 0.500 (multiplicity 12)

Mg6HgAu12 | GGA-PBE | optimized geometry

E: -2.954 eV/atom
energy of formation from the pure elements: -0.365 eV per atom

Lattice parameters (Å, degrees): 12.2947 12.2947 8.4488 90.00 90.00 120.00
Space group R-3 (No. 148, hexagonal axes)
Inequivalent atoms, fractional coordinates:
Mg: 0.0484 0.8294 0.2464 (multiplicity 18)
Hg: 0.0000 0.0000 0.5000 (multiplicity 3)
Au: 0.0557 0.8077 0.5757 (multiplicity 18)
Au: 0.0570 0.8304 0.9175 (multiplicity 18)

SbS3N | GGA-PBE | optimized geometry

energy relative to the elements, uncorrected: 1.59 eV per atom
E: -3.376 eV/atom
polymorph energy (0 for the lowest one): 0.664 eV per atom

Lattice parameters (Å, degrees): 5.036 5.036 5.036 90.00 90.00 90.00
Space group Pm-3m (No. 221)
Inequivalent atoms, fractional coordinates:
Sb: 0.000 0.000 0.000 (multiplicity 1)
S: 0.000 0.000 0.500 (multiplicity 3)
N: 0.500 0.500 0.500 (multiplicity 1)

> Which value of E does entry 3 give?

-3.376 eV/atom

> Among the records above, which one has the highest E?

Mg6HgAu12